Density functional theory data (GGA+U) for crystalline CoReNO at its relaxed geometry.

Computed properties:
Polymorph energy (0 for the lowest one)   298.0 kJ/mol of formula units
Space-group type   P4/nmm, No. 129

```
CoReNO
1.0
0.546 0.801 3.247
-3.159 1.205 0.234
-2.109 -5.878 1.804
N Co Re O
2 2 2 2
Direct
0.750 0.750 0.340
0.250 0.250 0.660
0.750 0.250 0.500
0.250 0.750 0.500
0.750 0.750 0.807
0.250 0.250 0.193
0.750 0.250 0.000
0.250 0.750 0.000
```

=====

Density functional theory data (GGA+U) for crystalline CoReNO at its relaxed geometry.

Computed properties:
Polymorph energy (0 for the lowest one)   24.6 kJ/mol of formula units
Space-group type   Pmc2_1, No. 26

```
CoReNO
1.0
2.908 0.000 0.000
0.000 5.800 0.000
0.000 0.000 5.179
N Re Co O
2 2 2 2
Direct
0.000 0.327 0.413
0.000 0.673 0.913
0.500 0.089 0.465
0.500 0.911 0.965
0.000 0.637 0.545
0.000 0.363 0.045
0.500 0.233 0.831
0.500 0.767 0.331
```

=====

Density functional theory data (GGA+U) for crystalline CoSbNO at its relaxed geometry.

Computed properties:
Polymorph energy (0 for the lowest one)   133.7 kJ/mol of formula units
Space-group type   P4/nmm, No. 129

```
CoSbNO
1.0
-3.335 1.414 -0.236
-1.212 -3.101 -1.445
-1.567 -2.561 6.809
O N Sb Co
2 2 2 2
Direct
0.250 0.750 0.000
0.750 0.250 0.000
0.250 0.250 0.591
0.750 0.750 0.409
0.250 0.250 0.174
0.750 0.750 0.826
0.750 0.250 0.500
0.250 0.750 0.500
```

=====

Density functional theory data (GGA+U) for crystalline CoSbNO at its relaxed geometry.

Computed properties:
Polymorph energy (0 for the lowest one)   3.2 kJ/mol of formula units
Space-group type   Pmc2_1, No. 26

```
CoSbNO
1.0
-1.184 -0.146 -3.074
4.966 -0.522 -1.888
-0.490 -6.461 0.495
Sb Co O N
2 2 2 2
Direct
0.500 0.026 0.150
0.500 0.526 0.850
0.000 0.021 0.594
0.000 0.521 0.406
0.500 0.331 0.330
0.500 0.831 0.670
0.000 0.377 0.696
0.000 0.877 0.304
```